1.
# GeMoIN2

An optimized crystal structure of GeMoIN2 (PBE, the Alexandria database).

Summary:
space-group type = P4/mmm (123)
ρ = 5.38 Mg/m³
M_tot = 4.41 μB per formula unit
crystal system = tetragonal
energy above the most stable polymorph in this dataset = 0.909 eV/atom

Cell lengths 3.862, 3.862, 6.698 Å; angles 90.00, 90.00, 90.00 degrees
Element x y z (fractional)
Ge  0.000  0.000  0.000
Mo  0.500  0.500  0.500
I  0.000  0.000  0.500
N  0.000  0.500  0.000
N  0.500  0.000  0.000

2.
# Cu3TeO6

An optimized crystal structure of Cu3TeO6 (PBE, the Alexandria database).

Summary:
space-group type = P2_1/c (14)
ρ = 5.97 Mg/m³
M_tot = 0.57 μB per formula unit
crystal system = monoclinic
energy above the most stable polymorph in this dataset = 0.024 eV/atom

Cell lengths 4.838, 5.279, 9.966 Å; angles 90.00, 115.13, 90.00 degrees
Element x y z (fractional)
Cu  0.000  0.000  0.000
Cu  0.000  0.500  0.500
Cu  0.291  0.071  0.792
Cu  0.291  0.429  0.292
Cu  0.709  0.571  0.708
Cu  0.709  0.929  0.208
Te  0.500  0.000  0.500
Te  0.500  0.500  0.000
O  0.163  0.244  0.427
O  0.163  0.256  0.927
O  0.192  0.729  0.395
O  0.192  0.771  0.895
O  0.487  0.601  0.190
O  0.487  0.899  0.690
O  0.513  0.101  0.310
O  0.513  0.399  0.810
O  0.808  0.229  0.105
O  0.808  0.271  0.605
O  0.837  0.744  0.073
O  0.837  0.756  0.573

3.
# CaTa3Sb

An optimized crystal structure of CaTa3Sb (PBE, the Alexandria database).

Summary:
space-group type = Pm-3m (221)
ρ = 8.71 Mg/m³
M_tot = 0.00 μB per formula unit
crystal system = cubic
energy above the most stable polymorph in this dataset = 0.000 eV/atom

Cell lengths 5.122, 5.122, 5.122 Å; angles 90.00, 90.00, 90.00 degrees
Element x y z (fractional)
Ca  0.000  0.000  0.000
Ta  0.000  0.500  0.500
Ta  0.500  0.000  0.500
Ta  0.500  0.500  0.000
Sb  0.500  0.500  0.500

4.
# Ho8GeP3Se4

An optimized crystal structure of Ho8GeP3Se4 (PBE, the Alexandria database).

Summary:
space-group type = R-3m (166)
ρ = 7.96 Mg/m³
M_tot = 0.00 μB per formula unit
energy = -98.28 eV per cell
crystal system = trigonal

Cell lengths 8.137, 8.137, 8.137 Å; angles 59.39, 59.39, 59.39 degrees
Element x y z (fractional)
Ho  0.242  0.745  0.745
Ho  0.243  0.243  0.243
Ho  0.255  0.255  0.758
Ho  0.255  0.758  0.255
Ho  0.745  0.242  0.745
Ho  0.745  0.745  0.242
Ho  0.757  0.757  0.757
Ho  0.758  0.255  0.255
Ge  0.500  0.500  0.500
P  0.000  0.000  0.500
P  0.000  0.500  0.000
P  0.500  0.000  0.000
Se  0.000  0.000  0.000
Se  0.000  0.500  0.500
Se  0.500  0.000  0.500
Se  0.500  0.500  0.000

5.
# CaAc2Tl4

An optimized crystal structure of CaAc2Tl4 (PBE, the Alexandria database).

Summary:
space-group type = C2/m (12)
E_form = -0.361 eV per atom
ρ = 9.36 Mg/m³
M_tot = 0.00 μB per formula unit
crystal system = monoclinic
energy above the most stable polymorph in this dataset = 0.000 eV/atom

Cell lengths 5.320, 5.320, 9.982 Å; angles 105.42, 105.42, 59.91 degrees
Element x y z (fractional)
Ca  0.000  0.000  0.000
Ac  0.429  0.429  0.288
Ac  0.571  0.571  0.712
Tl  0.148  0.148  0.445
Tl  0.300  0.300  0.901
Tl  0.700  0.700  0.099
Tl  0.852  0.852  0.555

6.
# FeTc2S4

An optimized crystal structure of FeTc2S4 (PBE, the Alexandria database).

Summary:
space-group type = I4/mmm (139)
ρ = 5.15 Mg/m³
M_tot = 4.26 μB per formula unit
energy = -42.85 eV per cell
crystal system = tetragonal

Cell lengths 6.626, 6.626, 6.626 Å; angles 139.29, 139.29, 58.93 degrees
Element x y z (fractional)
Fe  0.000  0.000  0.000
Tc  0.392  0.392  0.000
Tc  0.608  0.608  0.000
S  0.000  0.500  0.500
S  0.203  0.203  0.000
S  0.500  0.000  0.500
S  0.797  0.797  0.000

7.
# Tm12Cu6Ag

An optimized crystal structure of Tm12Cu6Ag (PBE, the Alexandria database).

Summary:
space-group type = R-3 (148)
E_form = -0.022 eV per atom
ρ = 9.03 Mg/m³
M_tot = 0.00 μB per formula unit
crystal system = trigonal
energy above the most stable polymorph in this dataset = 0.161 eV/atom

Cell lengths 8.394, 8.394, 8.394 Å; angles 109.03, 109.03, 109.03 degrees
Element x y z (fractional)
Tm  0.005  0.132  0.689
Tm  0.132  0.689  0.005
Tm  0.161  0.373  0.467
Tm  0.311  0.995  0.868
Tm  0.373  0.467  0.161
Tm  0.467  0.161  0.373
Tm  0.533  0.839  0.627
Tm  0.627  0.533  0.839
Tm  0.689  0.005  0.132
Tm  0.839  0.627  0.533
Tm  0.868  0.311  0.995
Tm  0.995  0.868  0.311
Cu  0.159  0.643  0.339
Cu  0.339  0.159  0.643
Cu  0.357  0.661  0.841
Cu  0.643  0.339  0.159
Cu  0.661  0.841  0.357
Cu  0.841  0.357  0.661
Ag  0.000  0.000  0.000

8.
# Ag3BF6

An optimized crystal structure of Ag3BF6 (PBE, the Alexandria database).

Summary:
space-group type = C2/m (12)
ρ = 5.92 Mg/m³
M_tot = 0.00 μB per formula unit
crystal system = monoclinic
energy above the most stable polymorph in this dataset = 0.000 eV/atom

Cell lengths 5.498, 5.498, 6.224 Å; angles 122.85, 122.85, 58.57 degrees
Element x y z (fractional)
Ag  0.000  0.000  0.000
Ag  0.300  0.300  0.794
Ag  0.700  0.700  0.206
B  0.500  0.500  0.500
F  0.223  0.637  0.589
F  0.285  0.285  0.151
F  0.363  0.777  0.411
F  0.637  0.223  0.589
F  0.715  0.715  0.849
F  0.777  0.363  0.411